Mo2PbF8: relaxed, GGA+U.

For the total energy, the calculation gives -59.19 eV per cell. The calculation puts the density of states at the Fermi level at 0.0 states/eV/cell. The space group is P-1 (2).

Cell: 4.357 6.735 6.756 Å, 71.82 88.05 88.19°
Fractional positions:
Mo 0.241 0.122 0.122
Mo 0.759 0.878 0.878
Pb 0.500 0.500 0.500
F 0.231 0.306 0.307
F 0.246 0.850 0.367
F 0.248 0.369 0.851
F 0.256 0.915 0.915
F 0.744 0.085 0.085
F 0.752 0.631 0.149
F 0.754 0.150 0.633
F 0.769 0.694 0.693